1.
VASP calculation (PBE) on a geometry-optimized Nd12YIn6 structure.

Cell: 8.3908 8.3908 8.3908 Å, 88.96 88.96 88.96°
Closest atoms and distances in Å follow each position.
Fractional coordinates of all 19 atoms:
Nd (0.0735, 0.1248, 0.3841)  3 Nd 3.09-3.39, 1 In 3.36
Nd (0.1248, 0.3841, 0.0735)  3 Nd 3.09-3.39, 1 In 3.36
Nd (0.1912, 0.4736, 0.5650)  4 In 3.35-3.48, 4 Nd 3.43-3.51
Nd (0.3841, 0.0735, 0.1248)  3 Nd 3.09-3.39, 1 In 3.36
Nd (0.4350, 0.8088, 0.5264)  4 In 3.35-3.48, 4 Nd 3.43-3.51
Nd (0.4736, 0.5650, 0.1912)  4 In 3.35-3.48, 4 Nd 3.43-3.51
Nd (0.5264, 0.4350, 0.8088)  4 In 3.35-3.48, 4 Nd 3.43-3.51
Nd (0.5650, 0.1912, 0.4736)  4 In 3.35-3.48, 4 Nd 3.43-3.51
Nd (0.6159, 0.9265, 0.8752)  3 Nd 3.09-3.39, 1 In 3.36
Nd (0.8088, 0.5264, 0.4350)  4 In 3.35-3.48, 4 Nd 3.43-3.51
Nd (0.8752, 0.6159, 0.9265)  3 Nd 3.09-3.39, 1 In 3.36
Nd (0.9265, 0.8752, 0.6159)  3 Nd 3.09-3.39, 1 In 3.36
Y (0.0000, 0.0000, 0.0000)  6 In 3.26, 6 Nd 3.48
In (0.1217, 0.7445, 0.2710)  1 Y 3.26, 7 Nd 3.35-3.48, 2 In 3.47
In (0.2555, 0.7290, 0.8783)  1 Y 3.26, 7 Nd 3.35-3.48, 2 In 3.47
In (0.2710, 0.1217, 0.7445)  1 Y 3.26, 7 Nd 3.35-3.48, 2 In 3.47
In (0.7290, 0.8783, 0.2555)  1 Y 3.26, 7 Nd 3.35-3.48, 2 In 3.47
In (0.7445, 0.2710, 0.1217)  1 Y 3.26, 7 Nd 3.35-3.48, 2 In 3.47
In (0.8783, 0.2555, 0.7290)  1 Y 3.26, 7 Nd 3.35-3.48, 2 In 3.47

Summary:
Energy of formation in meV per atom: -239
Space group: R-3 (148)

---

2.
VASP calculation (PBE) on a geometry-optimized NdYIn structure.

Cell: 3.7251 4.9384 10.2066 Å, 90.00 100.46 90.00°
Closest atoms and distances in Å follow each position.
Fractional coordinates of all 6 atoms:
Nd (0.1052, 0.2500, 0.2115)  6 In 3.33-3.54, 3 Y 3.71-3.72, 2 Nd 3.73
Nd (0.8948, 0.7500, 0.7885)  6 In 3.33-3.54, 3 Y 3.71-3.72, 2 Nd 3.73
Y (0.2909, 0.2500, 0.5815)  1 In 3.31, 4 Y 3.50
Y (0.7091, 0.7500, 0.4185)  1 In 3.31, 4 Y 3.50
In (0.4561, 0.2500, 0.9111)  2 In 3.05, 1 Y 3.31, 4 Nd 3.33
In (0.5439, 0.7500, 0.0889)  2 In 3.05, 1 Y 3.31, 4 Nd 3.33

Summary:
Energy of formation in meV per atom: -253
Space group: P2_1/m (11)

---

3.
VASP calculation (PBE) on a geometry-optimized Nd2YIn structure.

Cell: 5.5664 5.5664 5.5664 Å, 60.00 60.00 60.00°
Closest atoms and distances in Å follow each position.
Fractional coordinates of all 4 atoms:
Nd (0.0000, 0.0000, 0.0000)  4 Nd 3.41, 4 Y 3.41
Nd (0.2500, 0.2500, 0.2500)  4 In 3.41, 4 Nd 3.41
Y (0.7500, 0.7500, 0.7500)  4 In 3.41, 4 Nd 3.41
In (0.5000, 0.5000, 0.5000)  4 Nd 3.41, 4 Y 3.41

Summary:
Energy of formation in meV per atom: -124
Space group: F-43m (216)

---

4.
VASP calculation (PBE) on a geometry-optimized Nd3Y3In structure.

Cell: 9.5428 9.5428 5.6714 Å, 90.00 90.00 120.00°
Closest atoms and distances in Å follow each position.
Fractional coordinates of all 14 atoms:
Nd (0.1063, 0.4786, 0.2500)  3 In 3.47-3.70, 4 Nd 3.48-3.63, 5 Y 3.52-3.75
Nd (0.3723, 0.8937, 0.2500)  3 In 3.47-3.70, 4 Nd 3.48-3.63, 5 Y 3.52-3.75
Nd (0.4786, 0.3723, 0.7500)  3 In 3.47-3.70, 4 Nd 3.48-3.63, 5 Y 3.52-3.75
Nd (0.5214, 0.6277, 0.2500)  3 In 3.47-3.70, 4 Nd 3.48-3.63, 5 Y 3.52-3.75
Nd (0.6277, 0.1063, 0.7500)  3 In 3.47-3.70, 4 Nd 3.48-3.63, 5 Y 3.52-3.75
Nd (0.8937, 0.5214, 0.7500)  3 In 3.47-3.70, 4 Nd 3.48-3.63, 5 Y 3.52-3.75
Y (0.0618, 0.2402, 0.7500)  6 Y 3.51-3.57, 5 Nd 3.52-3.75, 1 In 3.57
Y (0.1783, 0.9382, 0.7500)  6 Y 3.51-3.57, 5 Nd 3.52-3.75, 1 In 3.57
Y (0.2402, 0.1783, 0.2500)  6 Y 3.51-3.57, 5 Nd 3.52-3.75, 1 In 3.57
Y (0.7598, 0.8217, 0.7500)  6 Y 3.51-3.57, 5 Nd 3.52-3.75, 1 In 3.57
Y (0.8217, 0.0618, 0.2500)  6 Y 3.51-3.57, 5 Nd 3.52-3.75, 1 In 3.57
Y (0.9382, 0.7598, 0.2500)  6 Y 3.51-3.57, 5 Nd 3.52-3.75, 1 In 3.57
In (0.3333, 0.6667, 0.7500)  9 Nd 3.47-3.70, 3 Y 3.57
In (0.6667, 0.3333, 0.2500)  9 Nd 3.47-3.70, 3 Y 3.57

Summary:
Energy of formation in meV per atom: -111
Space group: P6_3/m (176)

---

5.
VASP calculation (PBE) on a geometry-optimized NdY4In3 structure.

Cell: 9.6334 9.6334 9.6334 Å, 32.50 32.50 32.50°
Closest atoms and distances in Å follow each position.
Fractional coordinates of all 8 atoms:
Nd (0.0000, 0.0000, 0.0000)  8 Y 3.44-3.56, 6 In 3.68
Y (0.1301, 0.1301, 0.1301)  7 In 3.27-3.60, 1 Nd 3.56
Y (0.3866, 0.3866, 0.3866)  5 In 3.10-3.42, 3 Nd 3.44
Y (0.6134, 0.6134, 0.6134)  5 In 3.10-3.42, 3 Nd 3.44
Y (0.8699, 0.8699, 0.8699)  7 In 3.27-3.60, 1 Nd 3.56
In (0.2617, 0.2617, 0.2617)  7 Y 3.15-3.50
In (0.5000, 0.5000, 0.5000)  8 Y 3.10-3.27
In (0.7383, 0.7383, 0.7383)  7 Y 3.15-3.50

Summary:
Energy of formation in meV per atom: -345
Space group: R-3m (166)

---

6.
VASP calculation (PBE) on a geometry-optimized Nd2YIn9 structure.

Cell: 4.6948 4.6948 14.0717 Å, 90.00 90.00 90.00°
Closest atoms and distances in Å follow each position.
Fractional coordinates of all 12 atoms:
Nd (0.0000, 0.0000, 0.1682)  12 In 3.32-3.33
Nd (0.0000, 0.0000, 0.8318)  12 In 3.32-3.33
Y (0.0000, 0.0000, 0.5000)  12 In 3.29-3.32
In (0.0000, 0.5000, 0.0000)  8 In 3.32, 4 Nd 3.33
In (0.0000, 0.5000, 0.3365)  8 In 3.29-3.34, 2 Y 3.29, 2 Nd 3.33
In (0.0000, 0.5000, 0.6635)  8 In 3.29-3.34, 2 Y 3.29, 2 Nd 3.33
In (0.5000, 0.0000, 0.0000)  8 In 3.32, 4 Nd 3.33
In (0.5000, 0.0000, 0.3365)  8 In 3.29-3.34, 2 Y 3.29, 2 Nd 3.33
In (0.5000, 0.0000, 0.6635)  8 In 3.29-3.34, 2 Y 3.29, 2 Nd 3.33
In (0.5000, 0.5000, 0.1672)  4 Nd 3.32, 8 In 3.32-3.34
In (0.5000, 0.5000, 0.5000)  8 In 3.29, 4 Y 3.32
In (0.5000, 0.5000, 0.8328)  4 Nd 3.32, 8 In 3.32-3.34

Summary:
Energy of formation in meV per atom: -456
Space group: P4/mmm (123)

---

7.
VASP calculation (PBE) on a geometry-optimized NdY7In4 structure.

Cell: 7.7763 7.7763 10.6621 Å, 121.44 121.44 42.71°
Closest atoms and distances in Å follow each position.
Fractional coordinates of all 12 atoms:
Nd (0.0000, 0.0000, 0.0000)  2 Y 2.83
Y (0.0627, 0.0627, 0.3918)  5 In 3.18-3.56, 2 Y 3.36-3.55
Y (0.2124, 0.2124, 0.8766)  4 In 3.33-3.37, 6 Y 3.36-3.72
Y (0.2894, 0.2894, 0.3508)  4 In 3.01-3.18
Y (0.5000, 0.5000, 0.0000)  2 Nd 2.83, 4 In 3.01-3.11
Y (0.7106, 0.7106, 0.6492)  4 In 3.01-3.18
Y (0.7876, 0.7876, 0.1234)  4 In 3.33-3.37, 6 Y 3.36-3.72
Y (0.9373, 0.9373, 0.6082)  5 In 3.18-3.56, 2 Y 3.36-3.55
In (0.3175, 0.3175, 0.6678)  6 Y 3.01-3.33, 1 In 3.09
In (0.4378, 0.4378, 0.2361)  7 Y 3.01-3.37, 1 In 3.09
In (0.5622, 0.5622, 0.7639)  7 Y 3.01-3.37, 1 In 3.09
In (0.6825, 0.6825, 0.3322)  6 Y 3.01-3.33, 1 In 3.09

Summary:
Energy of formation in meV per atom: -139
Space group: C2/m (12)

---

8.
VASP calculation (PBE) on a geometry-optimized Nd5YIn2 structure.

Cell: 7.0425 14.0936 4.9500 Å, 90.00 90.00 90.00°
Closest atoms and distances in Å follow each position.
Fractional coordinates of all 16 atoms:
Nd (0.0000, 0.0000, 0.0000)  6 Nd 3.50-3.54, 2 Y 3.52, 4 In 3.52
Nd (0.0076, 0.2511, 0.0000)  7 Nd 3.49-3.54, 1 Y 3.51, 4 In 3.52-3.54
Nd (0.2455, 0.8751, 0.5000)  4 In 3.49-3.56, 6 Nd 3.49-3.53, 2 Y 3.53
Nd (0.2545, 0.3751, 0.5000)  4 In 3.49-3.56, 6 Nd 3.49-3.53, 2 Y 3.53
Nd (0.4924, 0.7511, 0.0000)  7 Nd 3.49-3.54, 1 Y 3.51, 4 In 3.52-3.54
Nd (0.5000, 0.5000, 0.0000)  6 Nd 3.50-3.54, 2 Y 3.52, 4 In 3.52
Nd (0.5076, 0.2489, 0.0000)  7 Nd 3.49-3.54, 1 Y 3.51, 4 In 3.52-3.54
Nd (0.7455, 0.6249, 0.5000)  4 In 3.49-3.56, 6 Nd 3.49-3.53, 2 Y 3.53
Nd (0.7545, 0.1249, 0.5000)  4 In 3.49-3.56, 6 Nd 3.49-3.53, 2 Y 3.53
Nd (0.9924, 0.7489, 0.0000)  7 Nd 3.49-3.54, 1 Y 3.51, 4 In 3.52-3.54
Y (0.0000, 0.5000, 0.0000)  4 In 3.47, 8 Nd 3.51-3.53
Y (0.5000, 0.0000, 0.0000)  4 In 3.47, 8 Nd 3.51-3.53
In (0.2424, 0.6226, 0.5000)  2 Y 3.47, 10 Nd 3.49-3.56
In (0.2576, 0.1226, 0.5000)  2 Y 3.47, 10 Nd 3.49-3.56
In (0.7424, 0.8774, 0.5000)  2 Y 3.47, 10 Nd 3.49-3.56
In (0.7576, 0.3774, 0.5000)  2 Y 3.47, 10 Nd 3.49-3.56

Summary:
Energy of formation in meV per atom: -276
Space group: Pbam (55)